NaNiPdF6 after structural relaxation. Source: Alexandria, functional GGA+U.

Output
uncorrected energy	-37.22	eV/f.u.
SG	P4_2nm

Unit cell a=4.857 b=4.857 c=9.881 alpha=90.00 beta=90.00 gamma=90.00
Sites, in units of the cell vectors:
Na  0.000  0.000  0.000
Na  0.500  0.500  0.500
Ni  0.000  0.000  0.335
Ni  0.500  0.500  0.835
Pd  0.000  0.000  0.669
Pd  0.500  0.500  0.169
F  0.183  0.183  0.496
F  0.210  0.210  0.826
F  0.211  0.211  0.177
F  0.289  0.711  0.677
F  0.290  0.710  0.326
F  0.317  0.683  0.996
F  0.683  0.317  0.996
F  0.710  0.290  0.326
F  0.711  0.289  0.677
F  0.789  0.789  0.177
F  0.790  0.790  0.826
F  0.817  0.817  0.496